VASP calculation (PBE) on a relaxed structure of SrCa2Ta.

a b c (Å): 5.1625 5.1625 5.0776
angles (deg): 90.00 90.00 90.00
Closest atoms and distances in Å follow each position.
Space group P4/mmm (No. 123)
Symmetry-distinct sites (fractional):
Sr  0.0000  0.0000  0.0000 x1  8 Ca 3.62, 4 Ta 3.65
Ca  0.0000  0.5000  0.5000 x2  4 Ta 3.62, 4 Sr 3.62, 4 Ca 3.65
Ta  0.5000  0.5000  0.0000 x1  8 Ca 3.62, 4 Sr 3.65

N(E_F) ... 2.019 states/eV/cell
Distance to the lowest polymorph of the same formula ... 196 meV per atom
Formation energy ... 0.82 eV per atom

VASP calculation (PBE) on a relaxed structure of FeHg2IrPb.

a b c (Å): 5.5187 5.5187 5.0827
angles (deg): 90.00 90.00 90.00
Closest atoms and distances in Å follow each position.
Space group P4/mmm (No. 123)
Symmetry-distinct sites (fractional):
Fe  0.0000  0.0000  0.0000 x1  2 Pb 2.54
Hg  0.0000  0.5000  0.5000 x2  2 Pb 2.76
Ir  0.5000  0.5000  0.0000 x1  8 Hg 3.75, 4 Fe 3.90
Pb  0.0000  0.0000  0.5000 x1  2 Fe 2.54, 4 Hg 2.76

N(E_F) ... 9.587 states/eV/cell
Formation energy ... 1.79 eV per atom